An optimized crystal structure of CeZrTe. Source: Alexandria, functional PBE.

Calculated values
Energy relative to the elements, uncorrected, eV per atom: -0.54
Uncorrected energy, eV for the cell shown: -38.47
Symmetry: P2_1/m

POSCAR file:
```
CeZrTe
1.0
3.5283 1.0575 -0.6487
2.5587 4.6318 -0.0913
-2.1280 1.4250 12.3312
Te Zr Ce
2 2 2
Cartesian
1.2453 5.5706 10.4879
2.7137 1.5437 1.1033
4.2544 3.7394 2.2831
-0.2954 3.3749 9.3081
1.5185 2.3157 6.6716
2.4404 4.7986 4.9196
```

An optimized crystal structure of CeZr2Te4. Source: Alexandria, functional PBE.

Calculated values
Energy relative to the elements, uncorrected, eV per atom: -0.92
Uncorrected energy, eV for the cell shown: -84.02
Symmetry: Cmcm

POSCAR file:
```
CeZr2Te4
1.0
-2.5361 -1.4835 -2.8826
1.9270 -5.4679 4.0573
-11.5121 2.5028 8.8405
Zr Te Ce
4 8 2
Cartesian
-7.2406 -3.6585 5.3146
-0.4733 -1.7482 1.3162
-4.8806 -0.7901 4.7007
-11.6480 -2.7003 8.6991
-9.7644 -0.5158 8.8563
-7.0241 0.5097 2.9789
-2.7859 -0.2426 2.5759
-6.9305 -1.1319 6.6801
-9.3354 -4.2059 7.4393
-2.3568 -3.9328 1.1589
-5.1907 -3.3167 3.3351
-1.2681 -0.7418 -1.4413
-2.3545 -4.3079 4.2886
-9.7668 -0.1406 5.7266
```

An optimized crystal structure of CeZrTe. Source: Alexandria, functional PBE.

Calculated values
Energy relative to the elements, uncorrected, eV per atom: -0.41
Uncorrected energy, eV for the cell shown: -18.86
Symmetry: P-6m2

POSCAR file:
```
CeZrTe
1.0
3.7178 0.0000 0.0000
0.0000 5.0019 0.0000
0.0000 -2.5010 4.3318
Zr Ce Te
1 1 1
Cartesian
0.6199 0.0000 2.8879
2.4790 2.5010 1.4439
0.6189 0.0000 0.0000
```

An optimized crystal structure of Ce2Th3. Source: Alexandria, functional PBE.

Calculated values
Energy of formation, meV per atom: 16
Uncorrected energy, eV for the cell shown: -34.05
Symmetry: R-3m

POSCAR file:
```
Ce2Th3
1.0
3.4666 0.0000 0.4958
1.6978 3.0223 0.4958
-0.2817 -0.1649 14.3377
Ce Th
2 3
Cartesian
3.0462 1.7827 3.4353
1.8365 1.0748 11.8939
0.9240 0.5407 5.9068
3.9587 2.3167 9.4224
0.0000 0.0000 0.0000
```

An optimized crystal structure of Ce6Th5. Source: Alexandria, functional PBE.

Calculated values
Energy of formation, meV per atom: 147
Uncorrected energy, eV for the cell shown: -71.09
Symmetry: Immm

POSCAR file:
```
Ce6Th5
1.0
0.6011 5.1093 -2.0452
5.6013 -5.5241 -4.6574
-8.9308 -1.9547 -0.0114
Ce Th
6 5
Cartesian
-0.2777 -2.4203 -6.1170
-2.4756 -4.4438 -4.3294
-4.1870 -1.4601 -4.8672
-2.4508 0.0507 -0.5969
1.4586 -0.9095 -1.8468
-0.2528 2.0743 -2.3845
-1.3642 -1.1848 -3.3570
-3.8818 -3.1949 -1.6256
-5.6395 -0.1347 -1.9901
2.9111 -2.2349 -4.7238
0.5522 -4.2839 -3.0432
```

An optimized crystal structure of Ce4Th5. Source: Alexandria, functional PBE.

Calculated values
Energy of formation, meV per atom: 128
Uncorrected energy, eV for the cell shown: -59.68
Symmetry: I4/mmm

POSCAR file:
```
Ce4Th5
1.0
3.4715 0.0000 0.0000
1.7358 8.8269 0.0000
1.7358 0.0000 8.8269
Th Ce
5 4
Cartesian
1.7358 2.9511 0.0000
3.4715 0.0000 5.8758
0.0000 0.0000 0.0000
1.7358 0.0000 2.9511
3.4715 5.8758 0.0000
3.4715 5.7968 5.7968
1.7358 3.0301 5.7968
3.4715 3.0301 3.0301
1.7358 5.7968 3.0301
```

For reference, DOS at the Fermi energy by record: 7.09, 22.47, 6.05, 9.34, 28.52, 23.63 states/eV/cell.